(1)
A geometry-optimized Gd2LuPu structure, computed with PBE.

```
data_Gd2LuPu
_cell_length_a 3.484
_cell_length_b 3.484
_cell_length_c 9.867
_cell_angle_alpha 90.00
_cell_angle_beta 90.00
_cell_angle_gamma 90.00
_symmetry_space_group_name_H-M 'P 4/m m m'
_symmetry_Int_Tables_number 123
_symmetry_space_group_name_Hall '-P 4 2'
loop_
_atom_site_label
_atom_site_fract_x
_atom_site_fract_y
_atom_site_fract_z
Gd1 0.000 0.000 0.246
Lu1 0.500 0.500 0.500
Pu1 0.500 0.500 0.000
```

(2)
A geometry-optimized Gd2LuPu structure, computed with PBE.

```
data_Gd2LuPu
_cell_length_a 7.840
_cell_length_b 7.840
_cell_length_c 7.840
_cell_angle_alpha 90.00
_cell_angle_beta 90.00
_cell_angle_gamma 90.00
_symmetry_space_group_name_H-M 'F m -3 m'
_symmetry_Int_Tables_number 225
_symmetry_space_group_name_Hall '-F 4 2 3'
loop_
_atom_site_label
_atom_site_fract_x
_atom_site_fract_y
_atom_site_fract_z
Gd1 0.250 0.250 0.250
Lu1 0.000 0.000 0.000
Pu1 0.000 0.000 0.500
```

Number 1: density 10.2 g cm⁻³, DFT formation energy 96 meV per atom, distance to the lowest polymorph of the same formula 0.000 eV per atom. Number 2: density 10.1 g cm⁻³, DFT formation energy 183 meV per atom, distance to the lowest polymorph of the same formula 0.087 eV per atom.